# ZnRuN2

Crystalline ZnRuN2 at its relaxed geometry (PBE-GGA, Alexandria via LeMat-Bulk).

Output
The value obtained for the total energy is -6.49 eV per atom. Its total magnetic moment is 0.00 Bohr magnetons per cell.

Structure (POSCAR):
```
ZnRuN2
1.0
-2.370 2.864 2.653
-2.710 1.027 -3.530
-5.434 -1.562 0.763
Ru Zn N
2 2 4
direct
0.000 0.000 0.000
0.750 0.250 0.500
0.500 0.500 0.000
0.250 0.750 0.500
0.646 0.125 0.250
0.104 0.625 0.250
0.375 0.354 0.750
0.875 0.896 0.750
```